LiTiTl2Br6: relaxed, PBE.

Lattice parameters (Å, degrees): 7.4408 7.4411 7.4432 60.88 60.91 60.92
Closest atoms and distances in Å follow each position.
Space group P1 (No. 1)
One atom of each set of equivalent atoms:
Li: 0.0000 0.0000 0.0000 (multiplicity 1)  6 Br 2.75-2.79
Ti: 0.5016 0.5015 0.5015 (multiplicity 1)  6 Br 2.59-2.60
Tl: 0.2434 0.2427 0.2434 (multiplicity 1)  6 Br 3.35-3.64
Tl: 0.7425 0.7430 0.7425 (multiplicity 1)  6 Br 3.36-3.57
Br: 0.2046 0.3153 0.7412 (multiplicity 1)  1 Ti 2.59, 1 Li 2.78
Br: 0.2660 0.7996 0.6884 (multiplicity 1)  1 Ti 2.60, 1 Li 2.75
Br: 0.3152 0.7426 0.2048 (multiplicity 1)  1 Ti 2.59, 1 Li 2.79
Br: 0.6879 0.2644 0.8003 (multiplicity 1)  1 Ti 2.60, 1 Li 2.75
Br: 0.7411 0.2054 0.3147 (multiplicity 1)  1 Ti 2.59, 1 Li 2.79
Br: 0.8005 0.6876 0.2659 (multiplicity 1)  1 Ti 2.60, 1 Li 2.75

**Uncorrected energy**: -35.56 eV for the cell shown

=====

LiTiZnBr2: relaxed, PBE.

Lattice parameters (Å, degrees): 5.1678 5.1678 5.3268 90.00 90.00 90.00
Closest atoms and distances in Å follow each position.
Space group P4/mmm (No. 123)
One atom of each set of equivalent atoms:
Li: 0.0000 0.0000 0.0000 (multiplicity 1)  4 Zn 3.65, 8 Br 3.71
Ti: 0.5000 0.5000 0.5000 (multiplicity 1)  4 Br 2.58, 2 Zn 2.66
Zn: 0.5000 0.5000 0.0000 (multiplicity 1)  2 Ti 2.66
Br: 0.0000 0.5000 0.5000 (multiplicity 2)  2 Ti 2.58

**Uncorrected energy**: -15.74 eV for the cell shown

=====

LiTl2Br: relaxed, PBE.

Lattice parameters (Å, degrees): 5.5180 5.5180 3.7431 90.00 90.00 90.00
Closest atoms and distances in Å follow each position.
Space group P4/mmm (No. 123)
One atom of each set of equivalent atoms:
Li: 0.0000 0.0000 0.0000 (multiplicity 1)  8 Tl 3.33
Tl: 0.0000 0.5000 0.5000 (multiplicity 2)  4 Li 3.33, 4 Br 3.33
Br: 0.5000 0.5000 0.0000 (multiplicity 1)  8 Tl 3.33

**Energy above the lowest structure with this stoichiometry**: 0.246 eV per atom
**Uncorrected energy**: -9.65 eV for the cell shown

=====

LiTl2Br: relaxed, PBE.

Lattice parameters (Å, degrees): 8.6908 8.6908 6.1937 90.00 90.00 90.00
Closest atoms and distances in Å follow each position.
Space group I-42d (No. 122)
One atom of each set of equivalent atoms:
Li: 0.0000 0.0000 0.0000 (multiplicity 4)  4 Tl 3.00, 2 Br 3.10
Tl: 0.2201 0.2500 0.1250 (multiplicity 8)  2 Li 3.00, 2 Tl 3.14, 2 Br 3.35
Br: 0.0000 0.0000 0.5000 (multiplicity 4)  2 Li 3.10, 4 Tl 3.35

**Energy above the lowest structure with this stoichiometry**: 0.289 eV per atom
**Uncorrected energy**: -37.91 eV for the cell shown

=====

LiTlBr2: relaxed, PBE.

Lattice parameters (Å, degrees): 3.7909 4.0105 15.4038 90.00 90.00 90.00
Closest atoms and distances in Å follow each position.
Space group Imm2 (No. 44)
One atom of each set of equivalent atoms:
Li: 0.0000 0.0000 0.0000 (multiplicity 2)  6 Br 2.84-2.95
Tl: 0.0000 0.5000 0.7474 (multiplicity 2)  6 Br 3.28-3.41
Br: 0.0000 0.0000 0.5682 (multiplicity 2)  4 Li 2.95
Br: 0.0000 0.5000 0.3629 (multiplicity 2)  2 Li 2.84

**Energy above the lowest structure with this stoichiometry**: 0.096 eV per atom
**Uncorrected energy**: -23.88 eV for the cell shown

=====

LiTl4Br: relaxed, PBE.

Lattice parameters (Å, degrees): 9.1939 9.1939 9.1939 90.00 90.00 90.00
Closest atoms and distances in Å follow each position.
Space group F-43m (No. 216)
One atom of each set of equivalent atoms:
Li: 0.0000 0.0000 0.0000 (multiplicity 4)  12 Tl 3.81, 4 Br 3.98
Tl: 0.1250 0.1250 0.6250 (multiplicity 16)  6 Tl 3.25
Br: 0.2500 0.2500 0.2500 (multiplicity 4)  12 Tl 3.81, 4 Li 3.98

**Uncorrected energy**: -53.61 eV for the cell shown

=====

LiTlBr2: relaxed, PBE.

Lattice parameters (Å, degrees): 4.3247 4.3281 8.3817 75.17 75.13 60.09
Closest atoms and distances in Å follow each position.
Space group P1 (No. 1)
One atom of each set of equivalent atoms:
Li: 0.0000 0.0000 0.0000 (multiplicity 1)  4 Br 2.54-2.65
Tl: 0.1498 0.1425 0.5513 (multiplicity 1)  3 Br 3.12-3.13
Br: 0.3693 0.3682 0.8925 (multiplicity 1)  3 Li 2.64-2.65
Br: 0.8944 0.8866 0.3170 (multiplicity 1)  1 Li 2.54

**Energy above the lowest structure with this stoichiometry**: 0.025 eV per atom
**Uncorrected energy**: -12.22 eV for the cell shown

=====

LiTl3Br: relaxed, PBE.

Lattice parameters (Å, degrees): 5.3295 5.3295 5.3295 90.00 90.00 90.00
Closest atoms and distances in Å follow each position.
Space group Pm-3m (No. 221)
One atom of each set of equivalent atoms:
Li: 0.0000 0.0000 0.0000 (multiplicity 1)  6 Tl 2.66
Tl: 0.0000 0.0000 0.5000 (multiplicity 3)  2 Li 2.66
Br: 0.5000 0.5000 0.5000 (multiplicity 1)  12 Tl 3.77

**Energy above the lowest structure with this stoichiometry**: 0.000 eV per atom
**Uncorrected energy**: -11.58 eV for the cell shown

=====

LiTlBr2: relaxed, PBE.

Lattice parameters (Å, degrees): 5.3324 5.3324 4.3962 90.00 90.00 90.00
Closest atoms and distances in Å follow each position.
Space group P-4m2 (No. 115)
One atom of each set of equivalent atoms:
Li: 0.0000 0.0000 0.0000 (multiplicity 1)  4 Br 2.67
Tl: 0.5000 0.5000 0.5000 (multiplicity 1)  8 Br 3.44-3.47
Br: 0.0000 0.5000 0.9932 (multiplicity 2)  2 Li 2.67

**Energy above the lowest structure with this stoichiometry**: 0.060 eV per atom
**Uncorrected energy**: -12.08 eV for the cell shown

=====

LiTlBr2: relaxed, PBE.

Lattice parameters (Å, degrees): 6.8347 4.3921 17.5544 90.00 90.00 90.00
Closest atoms and distances in Å follow each position.
Space group Pnma (No. 62)
One atom of each set of equivalent atoms:
Li: 0.2030 0.2500 0.1741 (multiplicity 4)  4 Br 2.53-2.63
Tl: 0.2477 0.2500 0.9330 (multiplicity 4)  3 Br 3.14-3.31
Br: 0.1669 0.7500 0.8089 (multiplicity 4)  2 Li 2.53-2.55
Br: 0.2259 0.2500 0.5960 (multiplicity 4)  2 Li 2.63

**Energy above the lowest structure with this stoichiometry**: 0.002 eV per atom
**Uncorrected energy**: -49.27 eV for the cell shown

=====

LiTl2Br2: relaxed, PBE.

Lattice parameters (Å, degrees): 7.2243 7.2243 5.7137 90.00 90.00 90.00
Closest atoms and distances in Å follow each position.
Space group P4/mbm (No. 127)
One atom of each set of equivalent atoms:
Li: 0.0000 0.0000 0.0000 (multiplicity 2)  4 Br 2.65
Tl: 0.1697 0.3303 0.5000 (multiplicity 4)  2 Br 3.23, 1 Tl 3.47
Br: 0.1826 0.6826 0.0000 (multiplicity 4)  2 Li 2.65

**Uncorrected energy**: -27.42 eV for the cell shown

=====

LiTlBr2: relaxed, PBE.

Lattice parameters (Å, degrees): 4.1074 7.7158 8.4311 90.00 90.00 90.00
Closest atoms and distances in Å follow each position.
Space group Cmmm (No. 65)
One atom of each set of equivalent atoms:
Li: 0.0000 0.0000 0.0000 (multiplicity 2)  4 Br 2.71
Tl: 0.0000 0.0000 0.5000 (multiplicity 2)  4 Br 3.20
Br: 0.0000 0.5000 0.2089 (multiplicity 4)  2 Li 2.71

**Energy above the lowest structure with this stoichiometry**: 0.136 eV per atom
**Uncorrected energy**: -23.56 eV for the cell shown

=====

LiTlBr2: relaxed, PBE.

Lattice parameters (Å, degrees): 7.7173 7.7173 7.7173 90.00 90.00 90.00
Closest atoms and distances in Å follow each position.
Space group Fm-3m (No. 225)
One atom of each set of equivalent atoms:
Li: 0.0000 0.0000 0.0000 (multiplicity 4)  8 Br 3.34
Tl: 0.0000 0.0000 0.5000 (multiplicity 4)  8 Br 3.34
Br: 0.2500 0.2500 0.2500 (multiplicity 8)  4 Li 3.34, 4 Tl 3.34

**Energy above the lowest structure with this stoichiometry**: 0.219 eV per atom
**Uncorrected energy**: -45.80 eV for the cell shown

=====

Calculated values (meV/atom) of formation energy without anion corrections for the records, taken in order: -1097.9, -263.1, -333.2, -289.7, -1078.2, -58.5, -1149.3, -178.4, -1114.2, -1172.9, -744.0, -1038.4, -955.8.